Record 1
Computed, not measured: an optimized crystal structure of BaCu2Bi2 at the GGA-PBE level of DFT.

Output
calculated formation energy = -232.2 meV/atom

Cell: 4.914 4.914 11.070 Å, 90.00 90.00 90.00°
Space group I4/mmm (No. 139)
Unique sites:
Ba1 0.000 0.000 0.000 [2 per cell]
Cu1 0.000 0.000 0.386 [4 per cell]
Bi1 0.000 0.500 0.250 [4 per cell]

Record 2
Computed, not measured: an optimized crystal structure of AcHfMg2 at the GGA-PBE level of DFT.

Output
calculated formation energy = 549.9 meV/atom

Cell: 3.2812 3.2812 37.2305 Å, 90.00 90.00 120.00°
Space group R-3m (No. 166, hexagonal axes)
Unique sites:
Ac1 0.0000 0.0000 0.0000 [3 per cell]
Hf1 0.0000 0.0000 0.5000 [3 per cell]
Mg1 0.0000 0.0000 0.4176 [6 per cell]

Record 3
Computed, not measured: an optimized crystal structure of Bi5Pb3Se12 at the GGA-PBE level of DFT.

Output
formation energy without anion corrections = -0.24 eV/atom

Cell: 17.435 17.435 17.435 Å, 90.00 90.00 90.00°
Space group Ia-3d (No. 230)
Unique sites:
Bi1 0.000 0.000 0.000 [16 per cell]
Bi2 0.000 0.250 0.375 [24 per cell]
Pb1 0.000 0.250 0.125 [24 per cell]
Se1 0.020 0.067 0.652 [96 per cell]

Record 4
Computed, not measured: an optimized crystal structure of HfNpSN2 at the GGA-PBE level of DFT.

Output
formation energy without anion corrections = -1.45 eV/atom

Cell: 6.713 3.989 7.398 Å, 90.00 115.95 90.00°
Space group P2_1/m (No. 11)
Unique sites:
Hf1 0.201 0.250 0.050 [2 per cell]
Np1 0.265 0.750 0.449 [2 per cell]
S1 0.230 0.250 0.723 [2 per cell]
N1 0.141 0.750 0.105 [2 per cell]
N2 0.371 0.250 0.373 [2 per cell]

Record 5
Computed, not measured: an optimized crystal structure of Li3CuC at the GGA-PBE level of DFT.

Output
ΔE to the lowest computed polymorph = 739 meV/atom
calculated formation energy = 1316.9 meV/atom

Cell: 4.478 4.478 4.478 Å, 90.00 90.00 90.00°
Space group Pm-3m (No. 221)
Unique sites:
Li1 0.000 0.000 0.500 [3 per cell]
Cu1 0.000 0.000 0.000 [1 per cell]
C1 0.500 0.500 0.500 [1 per cell]

Record 6
Computed, not measured: an optimized crystal structure of Ce3In2Sn at the GGA-PBE level of DFT.

Output
ΔE to the lowest computed polymorph = 35 meV/atom
calculated formation energy = -393.9 meV/atom

Cell: 5.4599 5.4599 6.6717 Å, 90.00 90.00 120.00°
Space group P-3m1 (No. 164)
Unique sites:
Ce1 0.0000 0.0000 0.0000 [1 per cell]
Ce2 0.3333 0.6667 0.6379 [2 per cell]
In1 0.3333 0.6667 0.1410 [2 per cell]
Sn1 0.0000 0.0000 0.5000 [1 per cell]